# 1
Compound: CrPtCl2
Source: the Alexandria database
Functional: PBE
Structure: relaxed

Lattice parameters (Å, degrees): 3.1862 3.9713 5.8737 90.00 90.00 90.00
Fractional coordinates of all 4 atoms:
Cr (0.0000, 0.0000, 0.0000)
Pt (0.5000, 0.0000, 0.5000)
Cl (0.0000, 0.5000, 0.5000)
Cl (0.5000, 0.5000, 0.0000)

Computed properties:
energy above the lowest structure with this stoichiometry = 164 kJ/mol of formula units
formation energy (no corrections) = 120.5 meV/atom
SG = Pmmm
spin magnetization = 4.5 μB per cell

# 2
Compound: CrPtCl4
Source: the Alexandria database
Functional: PBE
Structure: relaxed

Lattice parameters (Å, degrees): 5.6671 5.6671 5.6671 60.00 60.00 60.00
Fractional coordinates of all 6 atoms:
Cr (0.0000, 0.0000, 0.0000)
Pt (0.7500, 0.7500, 0.7500)
Cl (0.3751, 0.3751, 0.3751)
Cl (0.3751, 0.3751, 0.8746)
Cl (0.3751, 0.8746, 0.3751)
Cl (0.8746, 0.3751, 0.3751)

Computed properties:
formation energy (no corrections) = 1084.2 meV/atom
SG = F-43m
spin magnetization = 4.7 μB per cell

# 3
Compound: CrPtCl2
Source: the Alexandria database
Functional: PBE
Structure: relaxed

Lattice parameters (Å, degrees): 3.4965 5.0285 5.0285 58.41 90.00 90.00
Fractional coordinates of all 4 atoms:
Cr (0.0000, 0.0000, 0.0000)
Pt (0.5000, 0.2127, 0.2127)
Cl (0.0000, 0.4627, 0.4627)
Cl (0.5000, 0.7767, 0.7767)

Computed properties:
energy above the lowest structure with this stoichiometry = 59 kJ/mol of formula units
formation energy (no corrections) = -151.6 meV/atom
SG = Amm2
spin magnetization = 3.5 μB per cell

# 4
Compound: CrPtCl
Source: the Alexandria database
Functional: PBE
Structure: relaxed

Lattice parameters (Å, degrees): 6.2460 6.2460 7.1037 119.47 119.47 28.75
Fractional coordinates of all 6 atoms:
Cr (0.0000, 0.0000, 0.0000)
Cr (0.7142, 0.7142, 0.8557)
Pt (0.0215, 0.0215, 0.6654)
Pt (0.3308, 0.3308, 0.7141)
Cl (0.6505, 0.6505, 0.2332)
Cl (0.8998, 0.8998, 0.2102)

Computed properties:
energy above the lowest structure with this stoichiometry = 7 kJ/mol of formula units
formation energy (no corrections) = -156.5 meV/atom
SG = Cm
spin magnetization = 6.3 μB per cell

# 5
Compound: CrPtCl2
Source: the Alexandria database
Functional: PBE
Structure: relaxed

Lattice parameters (Å, degrees): 3.1205 3.1205 10.2670 90.00 90.00 119.72
Fractional coordinates of all 4 atoms:
Cr (0.0000, 0.0000, 0.0000)
Pt (0.0000, 0.0000, 0.5000)
Cl (0.5000, 0.5000, 0.1654)
Cl (0.5000, 0.5000, 0.8346)

Computed properties:
energy above the lowest structure with this stoichiometry = 162 kJ/mol of formula units
formation energy (no corrections) = 116.3 meV/atom
SG = Cmmm
spin magnetization = 3.4 μB per cell

# 6
Compound: CrPtCl
Source: the Alexandria database
Functional: PBE
Structure: relaxed

Lattice parameters (Å, degrees): 2.8401 5.7921 6.5787 77.94 89.95 75.86
Fractional coordinates of all 6 atoms:
Cr (0.0000, 0.0000, 0.0000)
Cr (0.1751, 0.6438, 0.0267)
Pt (0.5926, 0.8128, 0.3270)
Pt (0.8544, 0.2794, 0.2640)
Cl (0.4313, 0.1385, 0.7364)
Cl (0.6930, 0.6098, 0.7662)

Computed properties:
energy above the lowest structure with this stoichiometry = 33 kJ/mol of formula units
formation energy (no corrections) = -69.5 meV/atom
SG = P1
spin magnetization = 0.0 μB per cell

# 7
Compound: CrPtCl2
Source: the Alexandria database
Functional: PBE
Structure: relaxed

Lattice parameters (Å, degrees): 4.4720 4.4720 4.4720 60.00 60.00 60.00
Fractional coordinates of all 4 atoms:
Cr (0.0000, 0.0000, 0.0000)
Pt (0.5000, 0.5000, 0.5000)
Cl (0.2500, 0.2500, 0.2500)
Cl (0.7500, 0.7500, 0.7500)

Computed properties:
energy above the lowest structure with this stoichiometry = 440 kJ/mol of formula units
formation energy (no corrections) = 835.6 meV/atom
SG = Fm-3m
spin magnetization = 0.5 μB per cell

# 8
Compound: CrPtCl2
Source: the Alexandria database
Functional: PBE
Structure: relaxed

Lattice parameters (Å, degrees): 6.4510 6.4510 6.4510 147.75 147.75 46.26
Fractional coordinates of all 4 atoms:
Cr (0.0000, 0.0000, 0.0000)
Pt (0.2500, 0.7500, 0.5000)
Cl (0.5000, 0.5000, 0.0000)
Cl (0.7500, 0.2500, 0.5000)

Computed properties:
energy above the lowest structure with this stoichiometry = 179 kJ/mol of formula units
formation energy (no corrections) = 159.0 meV/atom
SG = I-4m2
spin magnetization = 4.5 μB per cell

# 9
Compound: CrPtCl
Source: the Alexandria database
Functional: PBE
Structure: relaxed

Lattice parameters (Å, degrees): 5.4903 5.4903 7.4008 108.75 108.75 30.33
Fractional coordinates of all 6 atoms:
Cr (0.0000, 0.0000, 0.0000)
Cr (0.1621, 0.1621, 0.9391)
Pt (0.5592, 0.5592, 0.2930)
Pt (0.8026, 0.8026, 0.2293)
Cl (0.3667, 0.3667, 0.7877)
Cl (0.6020, 0.6020, 0.6764)

Computed properties:
energy above the lowest structure with this stoichiometry = 28 kJ/mol of formula units
formation energy (no corrections) = -86.3 meV/atom
SG = Cm
spin magnetization = 0.0 μB per cell

# 10
Compound: CrPtCl
Source: the Alexandria database
Functional: PBE
Structure: relaxed

Lattice parameters (Å, degrees): 2.8962 2.8980 6.9793 98.84 90.26 119.95
Fractional coordinates of all 3 atoms:
Cr (0.0000, 0.0000, 0.0000)
Pt (0.5899, 0.1875, 0.7096)
Cl (0.7244, 0.4442, 0.2223)

Computed properties:
energy above the lowest structure with this stoichiometry = 52 kJ/mol of formula units
formation energy (no corrections) = -2.4 meV/atom
SG = P1
spin magnetization = 0.0 μB per cell

# 11
Compound: Cr2PtWCl
Source: the Alexandria database
Functional: PBE
Structure: relaxed

Lattice parameters (Å, degrees): 4.2158 4.2158 4.5211 90.00 90.00 90.00
Fractional coordinates of all 5 atoms:
Cr (0.0000, 0.5000, 0.0000)
Cr (0.5000, 0.0000, 0.0000)
Pt (0.0000, 0.0000, 0.5000)
W (0.5000, 0.5000, 0.5000)
Cl (0.0000, 0.0000, 0.0000)

Computed properties:
formation energy (no corrections) = 1187.9 meV/atom
SG = P4/mmm
spin magnetization = 2.4 μB per cell

# 12
Compound: PuCrCl2
Source: the Alexandria database
Functional: PBE
Structure: relaxed

Lattice parameters (Å, degrees): 8.9688 8.9688 8.9688 23.28 23.28 23.28
Fractional coordinates of all 4 atoms:
Pu (0.0000, 0.0000, 0.0000)
Cr (0.5000, 0.5000, 0.5000)
Cl (0.1083, 0.1083, 0.1083)
Cl (0.8917, 0.8917, 0.8917)

Computed properties:
formation energy (no corrections) = -476.1 meV/atom
SG = R-3m
spin magnetization = 11.1 μB per cell